1.
The following is a DFT calculation (PBE) of a relaxed Sc5NiRh2 crystal.

POSCAR file:
```
Sc5NiRh2
1.0
5.837 0.000 0.000
0.000 11.152 0.000
0.000 0.000 4.525
Sc Ni Rh
10 2 4
direct
0.000 0.000 0.000
0.154 0.282 0.000
0.168 0.612 0.500
0.332 0.112 0.500
0.346 0.782 0.000
0.500 0.500 0.000
0.654 0.218 0.000
0.668 0.888 0.500
0.832 0.388 0.500
0.846 0.718 0.000
0.000 0.500 0.000
0.500 0.000 0.000
0.157 0.878 0.500
0.343 0.378 0.500
0.657 0.622 0.500
0.843 0.122 0.500
```

Computed properties:
SG: Pbam, No. 55
Calculated formation energy in eV/atom: -0.62
Calculated total energy in eV/atom: -7.14
Fermi-level density of states in states/eV per atom: 0.67
Calculated volume in Å³/atom: 18.4

=====

2.
The following is a DFT calculation (PBE) of a relaxed Zn2Ge crystal.

POSCAR file:
```
Zn2Ge
1.0
-1.415 1.415 6.338
1.415 -1.415 6.338
1.415 1.415 -6.338
Zn Ge
2 1
direct
0.175 0.175 0.000
0.825 0.825 0.000
0.500 0.500 0.000
```

Computed properties:
SG: I4/mmm, No. 139
Calculated formation energy in eV/atom: 0.16
Calculated total energy in eV/atom: -2.23
Fermi-level density of states in states/eV per atom: 0.37
Calculated volume in Å³/atom: 16.9

=====

3.
The following is a DFT calculation (PBE) of a relaxed CaZnGa4Ir2 crystal.

POSCAR file:
```
CaZnGa4Ir2
1.0
2.153 1.243 8.903
-2.153 1.243 8.903
0.000 -2.486 8.903
Ca Zn Ga Ir
1 1 4 2
direct
0.000 0.000 0.000
0.500 0.500 0.500
0.128 0.128 0.128
0.400 0.400 0.400
0.600 0.600 0.600
0.872 0.872 0.872
0.228 0.228 0.228
0.772 0.772 0.772
```

Computed properties:
SG: R-3m, No. 166
Calculated formation energy in eV/atom: -0.32
Calculated total energy in eV/atom: -4.46
Fermi-level density of states in states/eV per atom: 0.51
Calculated volume in Å³/atom: 17.9

=====

4.
The following is a DFT calculation (PBE) of a relaxed Cs3Ce2SnS6 crystal.

POSCAR file:
```
Cs3Ce2SnS6
1.0
3.699 -6.403 0.000
3.699 6.403 0.000
-2.454 0.000 7.979
Cs Ce Sn S
3 2 1 6
direct
0.000 0.000 0.000
0.339 0.661 0.000
0.661 0.339 0.000
0.167 0.833 0.500
0.833 0.167 0.500
0.500 0.500 0.500
0.090 0.439 0.315
0.212 0.212 0.682
0.439 0.090 0.315
0.561 0.910 0.685
0.788 0.788 0.318
0.910 0.561 0.685
```

Computed properties:
SG: C2/m, No. 12
Calculated total energy in eV/atom: -5.07
Fermi-level density of states in states/eV per atom: 0.53
Calculated volume in Å³/atom: 31.5
Uncorrected formation energy in meV/atom: -1467.7

=====

5.
The following is a DFT calculation (PBE) of a relaxed Ca2NbPt crystal.

POSCAR file:
```
Ca2NbPt
1.0
0.000 3.594 3.594
3.594 0.000 3.594
3.594 3.594 0.000
Ca Nb Pt
2 1 1
direct
0.250 0.250 0.250
0.750 0.750 0.750
0.000 0.000 0.000
0.500 0.500 0.500
```

Computed properties:
SG: Fm-3m, No. 225
Energy relative to the lowest polymorph listed for this composition in meV per atom: 0
Calculated formation energy in eV/atom: 0.22
Calculated total energy in eV/atom: -4.81
Fermi-level density of states in states/eV per atom: 0.96
Calculated volume in Å³/atom: 23.2

=====

6.
The following is a DFT calculation (PBE) of a relaxed LiNi2Br crystal.

POSCAR file:
```
LiNi2Br
1.0
3.259 0.000 0.000
0.000 3.259 0.000
0.000 0.000 6.121
Li Ni Br
1 2 1
direct
0.000 0.000 0.000
0.000 0.000 0.410
0.500 0.500 0.277
0.500 0.500 0.847
```

Computed properties:
SG: P4mm, No. 99
Energy relative to the lowest polymorph listed for this composition in meV per atom: 25
Calculated total energy in eV/atom: -3.77
Fermi-level density of states in states/eV per atom: 1.34
Calculated volume in Å³/atom: 16.3
Uncorrected formation energy in meV/atom: 19.6

=====

7.
The following is a DFT calculation (PBE) of a relaxed NaHoGaPb crystal.

POSCAR file:
```
NaHoGaPb
1.0
0.000 3.704 3.704
3.704 0.000 3.704
3.704 3.704 0.000
Na Ho Ga Pb
1 1 1 1
direct
0.000 0.000 0.000
0.500 0.500 0.500
0.750 0.750 0.750
0.250 0.250 0.250
```

Computed properties:
SG: F-43m, No. 216
Calculated formation energy in eV/atom: -0.23
Calculated total energy in eV/atom: -3.39
Fermi-level density of states in states/eV per atom: 0.46
Calculated volume in Å³/atom: 25.4

=====

8.
The following is a DFT calculation (PBE) of a relaxed La12Y2Ho5 crystal.

POSCAR file:
```
La12Y2Ho5
1.0
6.623 -5.861 0.000
6.623 5.861 0.000
-4.297 0.000 8.552
La Y Ho
12 2 5
direct
0.065 0.550 0.696
0.073 0.073 0.285
0.109 0.675 0.079
0.325 0.891 0.921
0.383 0.383 0.555
0.450 0.935 0.304
0.550 0.065 0.696
0.617 0.617 0.445
0.675 0.109 0.079
0.891 0.325 0.921
0.927 0.927 0.715
0.935 0.450 0.304
0.225 0.775 0.500
0.775 0.225 0.500
0.190 0.190 0.733
0.307 0.307 0.163
0.500 0.500 0.000
0.693 0.693 0.837
0.810 0.810 0.267
```

Computed properties:
SG: C2/m, No. 12
Energy relative to the lowest polymorph listed for this composition in meV per atom: 0
Calculated formation energy in eV/atom: 0.10
Calculated total energy in eV/atom: -4.90
Fermi-level density of states in states/eV per atom: 1.43
Calculated volume in Å³/atom: 34.9

=====

9.
The following is a DFT calculation (PBE) of a relaxed BaZrBOs2 crystal.

POSCAR file:
```
BaZrBOs2
1.0
5.053 0.000 0.000
0.000 5.053 0.000
0.000 0.000 4.463
Ba Zr B Os
1 1 1 2
direct
0.000 0.000 0.000
0.500 0.500 0.500
0.000 0.000 0.500
0.000 0.500 0.000
0.500 0.000 0.000
```

Computed properties:
SG: P4/mmm, No. 123
Calculated formation energy in eV/atom: 2.92
Calculated total energy in eV/atom: -5.00
Fermi-level density of states in states/eV per atom: 0.95
Calculated volume in Å³/atom: 22.8

=====

10.
The following is a DFT calculation (PBE) of a relaxed LaVRh2 crystal.

POSCAR file:
```
LaVRh2
1.0
-2.462 2.462 7.812
2.462 -2.462 7.812
2.462 2.462 -7.812
La V Rh
2 2 4
direct
0.000 0.000 0.000
0.750 0.250 0.500
0.250 0.750 0.500
0.500 0.500 0.000
0.295 0.625 0.170
0.375 0.545 0.670
0.455 0.125 0.830
0.875 0.705 0.330
```

Computed properties:
SG: I-42d, No. 122
Calculated formation energy in eV/atom: 0.04
Calculated total energy in eV/atom: -7.15
Fermi-level density of states in states/eV per atom: 0.91
Calculated volume in Å³/atom: 23.7

=====

11.
The following is a DFT calculation (PBE) of a relaxed LaPr6Cd5 crystal.

POSCAR file:
```
LaPr6Cd5
1.0
2.766 -8.403 0.000
2.766 8.403 0.000
0.000 0.000 7.825
La Pr Cd
1 6 5
direct
0.000 0.000 0.000
0.174 0.826 0.252
0.174 0.826 0.748
0.500 0.500 0.272
0.500 0.500 0.728
0.826 0.174 0.252
0.826 0.174 0.748
0.000 0.000 0.500
0.333 0.667 0.500
0.343 0.657 0.000
0.657 0.343 0.000
0.667 0.333 0.500
```

Computed properties:
SG: Cmmm, No. 65
Calculated formation energy in eV/atom: -0.22
Calculated total energy in eV/atom: -3.40
Fermi-level density of states in states/eV per atom: 1.42
Calculated volume in Å³/atom: 30.3

=====

12.
The following is a DFT calculation (PBE) of a relaxed Ca5BiPt2 crystal.

POSCAR file:
```
Ca5BiPt2
1.0
-3.945 3.945 7.338
3.945 -3.945 7.338
3.945 3.945 -7.338
Ca Bi Pt
10 2 4
direct
0.000 0.000 0.000
0.037 0.537 0.837
0.200 0.037 0.500
0.300 0.800 0.837
0.463 0.300 0.500
0.500 0.500 0.000
0.537 0.700 0.500
0.700 0.200 0.163
0.800 0.963 0.500
0.963 0.463 0.163
0.250 0.250 0.000
0.750 0.750 0.000
0.126 0.374 0.500
0.374 0.874 0.248
0.626 0.126 0.752
0.874 0.626 0.500
```

Computed properties:
SG: I4/mcm, No. 140
Calculated formation energy in eV/atom: -0.84
Calculated total energy in eV/atom: -4.09
Fermi-level density of states in states/eV per atom: 0.64
Calculated volume in Å³/atom: 28.6

=====

13.
The following is a DFT calculation (PBE) of a relaxed Pr5Ho2Th crystal.

POSCAR file:
```
Pr5Ho2Th
1.0
7.292 0.000 0.000
0.000 14.584 0.000
0.000 0.000 5.162
Pr Ho Th
10 4 2
direct
0.000 0.000 0.000
0.007 0.252 0.000
0.247 0.377 0.500
0.253 0.877 0.500
0.493 0.752 0.000
0.500 0.500 0.000
0.507 0.248 0.000
0.747 0.123 0.500
0.753 0.623 0.500
0.993 0.748 0.000
0.240 0.622 0.500
0.260 0.122 0.500
0.740 0.878 0.500
0.760 0.378 0.500
0.000 0.500 0.000
0.500 0.000 0.000
```

Computed properties:
SG: Pbam, No. 55
Calculated formation energy in eV/atom: 0.03
Calculated total energy in eV/atom: -5.03
Fermi-level density of states in states/eV per atom: 1.22
Calculated volume in Å³/atom: 34.3

=====

14.
The following is a DFT calculation (PBE) of a relaxed LiTmScAl crystal.

POSCAR file:
```
LiTmScAl
1.0
0.000 3.509 3.509
3.509 0.000 3.509
3.509 3.509 0.000
Li Tm Sc Al
1 1 1 1
direct
0.000 0.000 0.000
0.750 0.750 0.750
0.250 0.250 0.250
0.500 0.500 0.500
```

Computed properties:
SG: F-43m, No. 216
Calculated formation energy in eV/atom: -0.21
Calculated total energy in eV/atom: -4.32
Fermi-level density of states in states/eV per atom: 1.03
Calculated volume in Å³/atom: 21.6

=====

15.
The following is a DFT calculation (PBE) of a relaxed FeRuSe4 crystal.

POSCAR file:
```
FeRuSe4
1.0
0.000 3.920 3.920
3.920 0.000 3.920
3.920 3.920 0.000
Fe Ru Se
1 1 4
direct
0.000 0.000 0.000
0.750 0.750 0.750
0.375 0.375 0.375
0.375 0.375 0.875
0.375 0.875 0.375
0.875 0.375 0.375
```

Computed properties:
SG: F-43m, No. 216
Calculated total energy in eV/atom: -4.05
Fermi-level density of states in states/eV per atom: 1.07
Calculated volume in Å³/atom: 20.1
Uncorrected formation energy in meV/atom: 1231.0

=====

16.
The following is a DFT calculation (PBE) of a relaxed LiPrCu5 crystal.

POSCAR file:
```
LiPrCu5
1.0
8.193 0.000 0.000
0.000 5.182 0.000
0.000 0.000 10.359
Li Pr Cu
4 4 20
direct
0.140 0.250 0.139
0.360 0.750 0.639
0.640 0.250 0.361
0.860 0.750 0.861
0.243 0.750 0.937
0.257 0.250 0.437
0.743 0.750 0.563
0.757 0.250 0.063
0.064 0.250 0.894
0.069 0.503 0.687
0.069 0.997 0.687
0.094 0.750 0.483
0.180 0.750 0.249
0.320 0.250 0.749
0.406 0.250 0.983
0.431 0.003 0.187
0.431 0.497 0.187
0.436 0.750 0.394
0.564 0.250 0.606
0.569 0.503 0.813
0.569 0.997 0.813
0.594 0.750 0.017
0.680 0.750 0.251
0.820 0.250 0.751
0.906 0.250 0.517
0.931 0.003 0.313
0.931 0.497 0.313
0.936 0.750 0.106
```

Computed properties:
SG: Pnma, No. 62
Calculated formation energy in eV/atom: -0.14
Calculated total energy in eV/atom: -4.02
Fermi-level density of states in states/eV per atom: 0.45
Calculated volume in Å³/atom: 15.7

=====

17.
The following is a DFT calculation (PBE) of a relaxed CsScAl2 crystal.

POSCAR file:
```
CsScAl2
1.0
0.000 3.842 3.842
3.842 0.000 3.842
3.842 3.842 0.000
Cs Sc Al
1 1 2
direct
0.000 0.000 0.000
0.500 0.500 0.500
0.250 0.250 0.250
0.750 0.750 0.750
```

Computed properties:
SG: Fm-3m, No. 225
Calculated formation energy in eV/atom: 0.61
Calculated total energy in eV/atom: -3.06
Fermi-level density of states in states/eV per atom: 1.06
Calculated volume in Å³/atom: 28.4

=====

18.
The following is a DFT calculation (PBE) of a relaxed Ac2CeSi3Rh12 crystal.

POSCAR file:
```
Ac2CeSi3Rh12
1.0
4.146 2.394 5.810
-4.146 2.394 5.810
0.000 -4.788 5.810
Ac Ce Si Rh
2 1 3 12
direct
0.104 0.104 0.104
0.896 0.896 0.896
0.500 0.500 0.500
0.000 0.500 0.500
0.500 0.000 0.500
0.500 0.500 0.000
0.116 0.641 0.641
0.153 0.153 0.595
0.153 0.595 0.153
0.359 0.359 0.884
0.359 0.884 0.359
0.405 0.847 0.847
0.595 0.153 0.153
0.641 0.116 0.641
0.641 0.641 0.116
0.847 0.405 0.847
0.847 0.847 0.405
0.884 0.359 0.359
```

Computed properties:
SG: R-3m, No. 166
Calculated total energy in eV/atom: -6.86
Fermi-level density of states in states/eV per atom: 0.57
Calculated volume in Å³/atom: 19.2
Uncorrected formation energy in meV/atom: -265.1

=====

19.
The following is a DFT calculation (PBE) of a relaxed NbHg2H2 crystal.

POSCAR file:
```
NbHg2H2
1.0
-1.515 1.515 7.569
1.515 -1.515 7.569
1.515 1.515 -7.569
Nb Hg H
1 2 2
direct
0.000 0.000 0.000
0.358 0.358 0.000
0.642 0.642 0.000
0.250 0.750 0.500
0.750 0.250 0.500
```

Computed properties:
SG: I4/mmm, No. 139
Energy relative to the lowest polymorph listed for this composition in meV per atom: 0
Calculated total energy in eV/atom: -2.85
Fermi-level density of states in states/eV per atom: 0.67
Calculated volume in Å³/atom: 13.9

=====

20.
The following is a DFT calculation (PBE) of a relaxed NdTlCu2 crystal.

POSCAR file:
```
NdTlCu2
1.0
0.000 3.420 3.420
3.420 0.000 3.420
3.420 3.420 0.000
Nd Tl Cu
1 1 2
direct
0.000 0.000 0.000
0.500 0.500 0.500
0.250 0.250 0.250
0.750 0.750 0.750
```

Computed properties:
SG: Fm-3m, No. 225
Calculated formation energy in eV/atom: -0.16
Calculated total energy in eV/atom: -3.99
Fermi-level density of states in states/eV per atom: 0.58
Calculated volume in Å³/atom: 20.0